Record 1
Computed, not measured: Sc8TcNi2 after structural relaxation at the PBE level of DFT.

Values from the calculation:
DOS(E_F)	12.56	states/eV/cell
formation energy from the elements	-1.84	eV per formula unit
uncorrected energy	-6.765	eV/atom

POSCAR file:
```
Sc8TcNi2
1.0
-2.737 2.777 3.387
-2.835 -6.396 1.120
6.467 0.717 2.805
Sc Tc Ni
8 1 2
direct
0.582 0.325 0.075
0.582 0.075 0.325
0.179 0.368 0.368
0.994 0.221 0.779
0.994 0.779 0.221
0.814 0.642 0.642
0.399 0.929 0.680
0.399 0.680 0.929
0.057 0.003 0.003
0.500 0.695 0.316
0.500 0.316 0.695
```

Record 2
Computed, not measured: PmPuAu6 after structural relaxation at the PBE level of DFT.

Values from the calculation:
DOS(E_F)	19.42	states/eV/cell
formation energy from the elements	-4.02	eV per formula unit
uncorrected energy	-5.346	eV/atom

POSCAR file:
```
PmPuAu6
1.0
4.823 0.000 0.000
0.000 5.660 -3.006
0.000 -0.189 6.406
Pm Pu Au
1 1 6
direct
0.500 0.415 0.585
0.000 0.085 0.915
0.000 0.063 0.405
0.000 0.595 0.937
0.000 0.592 0.408
0.500 0.438 0.095
0.500 0.905 0.562
0.500 0.908 0.092
```

Record 3
Computed, not measured: Ce2NdTlCo after structural relaxation at the PBE level of DFT.

Values from the calculation:
DOS(E_F)	9.55	states/eV/cell
formation energy from the elements	-0.99	eV per formula unit
uncorrected energy	-5.419	eV/atom

POSCAR file:
```
Ce2NdTlCo
1.0
-3.008 -2.277 3.238
3.909 -2.348 1.981
0.708 4.263 3.655
Ce Nd Tl Co
2 1 1 1
direct
0.000 0.500 0.000
0.500 0.000 0.000
0.000 0.000 0.500
0.500 0.500 0.501
0.000 0.000 0.000
```

Record 4
Computed, not measured: NaY2CdH after structural relaxation at the PBE level of DFT.

Values from the calculation:
DOS(E_F)	4.34	states/eV/cell
uncorrected energy	-3.844	eV/atom

POSCAR file:
```
NaY2CdH
1.0
-0.940 3.509 -3.316
-2.151 -3.329 -2.913
-4.019 0.831 2.019
Y Na H Cd
2 1 1 1
direct
0.000 0.500 0.000
0.500 0.000 0.000
0.000 0.000 0.500
0.000 0.000 0.000
0.500 0.500 0.500
```

Record 5
Computed, not measured: BaAuCl after structural relaxation at the PBE level of DFT.

Values from the calculation:
DOS(E_F)	0.00	states/eV/cell
uncorrected energy	-3.754	eV/atom
energy relative to the elements, uncorrected	-1.40	eV/atom

POSCAR file:
```
BaAuCl
1.0
5.381 0.000 0.000
2.691 4.660 0.000
2.691 1.553 4.394
Au Ba Cl
1 1 1
direct
0.500 0.500 0.500
0.750 0.750 0.750
0.000 0.000 0.000
```

Record 6
Computed, not measured: BaTa2MnS after structural relaxation at the PBE level of DFT.

Values from the calculation:
DOS(E_F)	7.69	states/eV/cell
uncorrected energy	-7.050	eV/atom
energy relative to the elements, uncorrected	0.74	eV/atom

POSCAR file:
```
BaTa2MnS
1.0
-2.930 2.879 2.506
-2.402 -3.455 1.160
2.749 -0.601 3.904
S Mn Ba Ta
1 1 1 2
direct
0.000 0.000 0.000
0.000 0.500 0.000
0.500 0.500 0.500
0.000 0.000 0.500
0.500 0.000 0.000
```

Record 7
Computed, not measured: La4Sm3Th after structural relaxation at the PBE level of DFT.

Values from the calculation:
DOS(E_F)	18.55	states/eV/cell
formation energy from the elements	2.78	eV per formula unit
uncorrected energy	-4.813	eV/atom

POSCAR file:
```
La4Sm3Th
1.0
-2.348 -0.766 2.433
6.515 -3.741 5.110
0.638 8.451 3.276
La Sm Th
4 3 1
direct
0.000 0.760 0.760
0.500 0.249 0.751
0.000 0.240 0.240
0.500 0.751 0.249
0.000 0.000 0.500
0.500 0.500 0.500
0.000 0.500 0.000
0.500 0.000 0.000
```

Record 8
Computed, not measured: Ba2SrTl after structural relaxation at the PBE level of DFT.

Values from the calculation:
DOS(E_F)	22.53	states/eV/cell
formation energy from the elements	-0.80	eV per formula unit
uncorrected energy	-2.173	eV/atom

POSCAR file:
```
Ba2SrTl
1.0
-5.812 -4.559 -0.826
-1.021 -2.856 -10.497
3.215 -10.374 1.194
Ba Sr Tl
8 4 4
direct
0.590 0.298 0.529
0.244 0.164 0.887
0.881 0.529 0.702
0.112 0.471 0.298
0.296 0.836 0.113
0.416 0.702 0.471
0.869 0.887 0.836
0.592 0.113 0.164
0.305 0.548 0.894
0.801 0.894 0.452
0.147 0.106 0.548
0.747 0.452 0.106
0.814 0.747 0.162
0.439 0.838 0.747
0.723 0.253 0.838
0.024 0.162 0.253
```

Record 9
Computed, not measured: La3ReC after structural relaxation at the PBE level of DFT.

Values from the calculation:
DOS(E_F)	8.54	states/eV/cell
formation energy from the elements	2.63	eV per formula unit
uncorrected energy	-6.764	eV/atom

POSCAR file:
```
La3ReC
1.0
5.047 0.000 0.000
0.000 5.047 0.000
0.000 0.000 5.047
Re C La
1 1 3
direct
0.500 0.500 0.500
0.000 0.000 0.000
0.000 0.500 0.000
0.000 0.000 0.500
0.500 0.000 0.000
```

Record 10
Computed, not measured: Si2Ag2Hg after structural relaxation at the PBE level of DFT.

Values from the calculation:
DOS(E_F)	3.56	states/eV/cell
uncorrected energy	-3.033	eV/atom
energy relative to the elements, uncorrected	0.34	eV/atom

POSCAR file:
```
Si2Ag2Hg
1.0
-6.818 -3.646 2.741
3.267 -7.344 -1.640
1.091 -0.093 2.590
Si Hg Ag
4 2 4
direct
0.393 0.893 0.000
0.893 0.607 0.000
0.607 0.107 0.000
0.107 0.393 0.000
0.000 0.000 0.000
0.500 0.500 0.000
0.189 0.689 0.500
0.689 0.811 0.500
0.811 0.311 0.500
0.311 0.189 0.500
```

Record 11
Computed, not measured: Y2TlHg after structural relaxation at the PBE level of DFT.

Values from the calculation:
DOS(E_F)	3.96	states/eV/cell
formation energy from the elements	-1.07	eV per formula unit
uncorrected energy	-4.166	eV/atom

POSCAR file:
```
Y2TlHg
1.0
-0.090 -1.758 -3.234
3.923 -2.577 1.292
-3.760 -4.457 2.527
Hg Tl Y
1 1 2
direct
0.000 0.000 0.455
0.500 0.500 0.792
0.000 0.000 0.953
0.500 0.500 0.299
```

Record 12
Computed, not measured: TbPrTmTh after structural relaxation at the PBE level of DFT.

Values from the calculation:
DOS(E_F)	7.99	states/eV/cell
formation energy from the elements	0.54	eV per formula unit
uncorrected energy	-5.190	eV/atom

POSCAR file:
```
TbPrTmTh
1.0
5.700 0.000 0.000
2.850 4.937 0.000
2.850 1.646 4.654
Pr Tm Tb Th
1 1 1 1
direct
0.250 0.250 0.250
0.500 0.500 0.500
0.000 0.000 0.000
0.750 0.750 0.750
```

Record 13
Computed, not measured: UAg2HgSe4 after structural relaxation at the PBE level of DFT.

Values from the calculation:
DOS(E_F)	7.98	states/eV/cell
uncorrected energy	-4.218	eV/atom
energy relative to the elements, uncorrected	-0.31	eV/atom

POSCAR file:
```
UAg2HgSe4
1.0
6.818 0.000 0.000
3.409 5.509 0.177
3.409 0.628 5.476
U Ag Hg Se
1 2 1 4
direct
0.500 0.500 0.500
0.175 0.325 0.325
0.825 0.675 0.675
0.000 0.000 0.000
0.404 0.088 0.620
0.113 0.912 0.380
0.887 0.620 0.088
0.596 0.380 0.912
```